## Na3Y3WS8 (PBE)

Data for a geometry-optimized Na3Y3WS8 structure.

a = 7.7561 Å, b = 7.7568 Å, c = 8.1356 Å
α = 118.50°, β = 90.00°, γ = 120.00°
Site moments in Bohr magnetons follow the coordinates.
Positions (direct):
S: 0.2570 0.5140 0.2713  0.00
S: 0.7767 0.5535 0.2876  0.00
W: 0.0000 0.0000 0.5000  1.38
Na: 0.0000 0.5000 0.0000  0.00
Y: 0.0000 0.5000 0.5000  0.03
S: 0.2338 0.0106 0.2877  0.00
S: 0.7662 0.9894 0.7123  0.00
Y: 0.5000 0.5000 0.5000  0.03
S: 0.2233 0.4465 0.7124  0.00
S: 0.2232 0.9894 0.7123  0.00
Y: 0.5000 0.0000 0.5000  0.03
Na: 0.0000 0.0000 0.0000  0.00
S: 0.7430 0.4860 0.7287  0.00
S: 0.7768 0.0106 0.2877  0.00
Na: 0.5000 0.5000 0.0000  0.00

## Properties
ΔE_f (raw) ... -1.495 eV/atom
Volume ... 23.6 Å³ per atom
Total moment ... 2.00 μB per formula unit